Record 1
A plane-wave DFT calculation with PBE was carried out for crystalline GaCuPd at its relaxed geometry.

The structure in extended XYZ format:
```
3
Lattice="2.803 0.000 0.000 0.000 4.181 0.000 0.000 -2.091 3.621" Properties=species:S:1:pos:R:3 pbc="T T T"
Ga 0.703 0.000 2.414
Cu 0.292 0.000 0.000
Pd 1.807 2.091 1.207
```

ρ = 9.4 g/cm³
energy above the lowest structure with this stoichiometry = 0.000 eV/atom
E_form = -0.35 eV/atom
crystal system = trigonal
volume = 14.14 A^3/atom

Record 2
A plane-wave DFT calculation with PBE was carried out for crystalline InSnSCl at its relaxed geometry.

The structure in extended XYZ format:
```
8
Lattice="-0.088 1.831 -4.680 -0.391 -3.127 -3.915 -11.978 0.373 -2.328" Properties=species:S:1:pos:R:3 pbc="T T T"
S -7.590 -0.812 -8.272
Sn -7.467 0.066 -2.533
In -10.644 -0.604 -8.133
In -1.813 -0.320 -2.790
S -4.867 -0.112 -2.651
Cl -9.843 -0.216 -5.297
Cl -2.613 -0.708 -5.626
Sn -4.989 -0.989 -8.390
```

ρ = 3.9 g/cm³
energy relative to the elements, uncorrected = -0.524 eV/atom
crystal system = trigonal
volume = 32.43 A^3/atom

Record 3
A plane-wave DFT calculation with PBE was carried out for crystalline NaP3Rh at its relaxed geometry.

The structure in extended XYZ format:
```
5
Lattice="-3.034 -0.858 3.475 3.518 0.125 3.103 -0.660 4.612 0.563" Properties=species:S:1:pos:R:3 pbc="T T T"
P 1.759 0.062 1.551
Na -0.088 1.939 3.570
P -1.517 -0.429 1.737
Rh 0.000 0.000 0.000
P -0.330 2.306 0.281
```

ρ = 3.5 g/cm³
energy above the lowest structure with this stoichiometry = 0.000 eV/atom
E_form = 0.38 eV/atom
crystal system = cubic
volume = 20.66 A^3/atom

Record 4
A plane-wave DFT calculation with PBE was carried out for crystalline K2TiTlI8 at its relaxed geometry.

The structure in extended XYZ format:
```
12
Lattice="-6.403 -2.611 -3.957 4.124 -1.740 -5.333 1.336 -9.317 4.031" Properties=species:S:1:pos:R:3 pbc="T T T"
I 0.236 -12.519 -3.039
K -0.098 -9.470 -1.473
I 2.668 -3.447 -3.707
I -3.610 -10.221 -1.551
I 0.481 -7.349 -4.115
Ti 0.000 0.000 0.000
I -1.178 -1.149 -2.219
I 3.473 -9.127 -1.275
I -4.415 -4.542 -3.983
I -1.423 -6.319 -1.143
Tl 0.668 -4.658 2.016
K -0.844 -4.198 -3.785
```

ρ = 3.9 g/cm³
energy relative to the elements, uncorrected = -0.816 eV/atom
crystal system = triclinic
volume = 47.33 A^3/atom

Record 5
A plane-wave DFT calculation with PBE was carried out for crystalline LaRe2SbN at its relaxed geometry.

The structure in extended XYZ format:
```
5
Lattice="4.187 0.000 0.000 0.000 5.149 0.000 0.000 0.000 4.187" Properties=species:S:1:pos:R:3 pbc="T T T"
Sb 2.093 2.574 2.093
La 0.000 2.574 0.000
N 0.000 0.000 0.000
Re 2.093 0.000 0.000
Re 0.000 0.000 2.093
```

ρ = 11.9 g/cm³
energy relative to the elements, uncorrected = 0.154 eV/atom
crystal system = tetragonal
volume = 18.05 A^3/atom

Record 6
A plane-wave DFT calculation with PBE was carried out for crystalline LiEr4Zn2 at its relaxed geometry.

The structure in extended XYZ format:
```
7
Lattice="4.764 0.000 1.488 2.149 4.251 1.488 -0.042 -0.026 8.503" Properties=species:S:1:pos:R:3 pbc="T T T"
Zn 1.758 1.081 2.740
Er 5.996 3.687 5.914
Er 2.608 1.604 8.389
Er 0.875 0.538 5.566
Zn 5.113 3.144 8.740
Er 4.263 2.622 3.091
Li 0.000 0.000 0.000
```

ρ = 7.8 g/cm³
energy above the lowest structure with this stoichiometry = 0.000 eV/atom
E_form = -0.07 eV/atom
crystal system = trigonal
volume = 24.65 A^3/atom

Record 7
A plane-wave DFT calculation with PBE was carried out for crystalline LaCeNd2P4 at its relaxed geometry.

The structure in extended XYZ format:
```
8
Lattice="-0.985 3.203 -2.488 -5.416 -3.859 -2.823 -6.020 1.135 3.846" Properties=species:S:1:pos:R:3 pbc="T T T"
Nd -6.020 1.135 3.846
Nd -3.503 2.169 0.679
Ce -5.718 -1.362 0.511
P -8.535 -2.047 0.744
P -3.886 2.527 -2.209
P -6.080 -0.986 -2.363
P -6.341 1.466 0.898
La -3.200 -0.328 -2.656
```

ρ = 5.6 g/cm³
E_form = -1.54 eV/atom
crystal system = monoclinic
volume = 25.71 A^3/atom

Record 8
A plane-wave DFT calculation with PBE was carried out for crystalline NdDyTc at its relaxed geometry.

The structure in extended XYZ format:
```
3
Lattice="3.504 0.000 0.000 0.000 3.504 0.000 -1.752 -1.752 6.440" Properties=species:S:1:pos:R:3 pbc="T T T"
Tc 1.752 1.752 2.191
Dy 0.000 0.000 3.782
Nd 0.000 0.000 0.467
```

ρ = 8.5 g/cm³
energy above the lowest structure with this stoichiometry = 0.000 eV/atom
E_form = 0.04 eV/atom
crystal system = tetragonal
volume = 26.36 A^3/atom

Record 9
A plane-wave DFT calculation with PBE was carried out for crystalline Cu2AgF at its relaxed geometry.

The structure in extended XYZ format:
```
4
Lattice="2.731 0.000 0.000 1.366 2.365 0.000 1.366 0.788 8.402" Properties=species:S:1:pos:R:3 pbc="T T T"
F 2.731 1.577 4.201
Cu 1.366 0.788 5.866
Ag 0.000 0.000 0.000
Cu 4.097 2.365 2.536
```

ρ = 7.8 g/cm³
energy relative to the elements, uncorrected = -0.274 eV/atom
crystal system = trigonal
volume = 13.57 A^3/atom

Record 10
A plane-wave DFT calculation with PBE was carried out for crystalline SbIr2C at its relaxed geometry.

The structure in extended XYZ format:
```
8
Lattice="-0.466 -3.038 -4.145 1.476 -4.066 2.814 -4.564 -4.511 0.608" Properties=species:S:1:pos:R:3 pbc="T T T"
Ir -2.691 -9.181 -0.999
C -1.291 -6.065 1.378
Ir -2.892 -6.467 0.247
Sb -2.263 -5.551 -2.102
Sb 0.000 0.000 0.000
Ir -0.325 -4.362 0.965
Ir -1.200 -3.222 -1.660
C 0.505 -3.552 -0.666
```

ρ = 12.2 g/cm³
energy above the lowest structure with this stoichiometry = 0.000 eV/atom
energy relative to the elements, uncorrected = 0.321 eV/atom
crystal system = tetragonal
volume = 17.69 A^3/atom

Record 11
A plane-wave DFT calculation with PBE was carried out for crystalline ZrScZn2Au2 at its relaxed geometry.

The structure in extended XYZ format:
```
6
Lattice="4.554 0.000 0.000 -2.277 3.944 0.000 0.000 0.000 6.049" Properties=species:S:1:pos:R:3 pbc="T T T"
Zn 0.000 2.630 4.531
Zn 2.277 1.315 1.518
Sc 0.000 0.000 0.000
Au 0.000 2.630 1.531
Zr 0.000 0.000 3.024
Au 2.277 1.315 4.517
```

ρ = 10.1 g/cm³
E_form = -0.52 eV/atom
crystal system = trigonal
volume = 18.11 A^3/atom

Record 12
A plane-wave DFT calculation with PBE was carried out for crystalline RbCr2Rh at its relaxed geometry.

The structure in extended XYZ format:
```
4
Lattice="0.000 3.174 3.174 3.174 0.000 3.174 3.174 3.174 0.000" Properties=species:S:1:pos:R:3 pbc="T T T"
Rh 3.174 3.174 3.174
Cr 1.587 1.587 1.587
Cr 4.761 4.761 4.761
Rb 0.000 0.000 0.000
```

ρ = 7.6 g/cm³
energy above the lowest structure with this stoichiometry = 0.666 eV/atom
E_form = 1.75 eV/atom
crystal system = cubic
volume = 15.99 A^3/atom

Record 13
A plane-wave DFT calculation with PBE was carried out for crystalline In2CuAs at its relaxed geometry.

The structure in extended XYZ format:
```
8
Lattice="-1.955 -4.829 4.255 4.772 1.896 4.345 -1.657 1.573 6.340" Properties=species:S:1:pos:R:3 pbc="T T T"
As -1.102 -2.361 7.448
In -0.152 0.094 8.012
As 0.000 0.000 0.000
In -1.026 -2.352 4.757
Cu 1.408 -1.466 4.300
In 2.309 0.940 4.864
Cu 2.261 1.002 7.493
In 1.186 -1.400 12.249
```

ρ = 5.7 g/cm³
E_form = 0.22 eV/atom
crystal system = tetragonal
volume = 27.01 A^3/atom

Record 14
A plane-wave DFT calculation with PBE was carried out for crystalline KLaRe2 at its relaxed geometry.

The structure in extended XYZ format:
```
4
Lattice="2.876 0.000 0.000 0.000 5.272 0.000 0.000 0.000 7.460" Properties=species:S:1:pos:R:3 pbc="T T T"
Re 0.000 0.000 6.740
Re 0.000 0.000 4.450
La 1.438 2.636 5.595
K 1.438 2.636 1.865
```

ρ = 8.1 g/cm³
energy above the lowest structure with this stoichiometry = 0.481 eV/atom
E_form = 0.99 eV/atom
crystal system = orthorhombic
volume = 28.28 A^3/atom

Record 15
A plane-wave DFT calculation with PBE was carried out for crystalline NbTc2IrOs at its relaxed geometry.

The structure in extended XYZ format:
```
5
Lattice="4.598 0.000 0.000 0.000 4.767 0.000 0.000 0.000 4.598" Properties=species:S:1:pos:R:3 pbc="T T T"
Ir 0.000 0.000 0.000
Tc 0.000 0.000 2.299
Os 2.299 2.383 2.299
Tc 2.299 0.000 0.000
Nb 0.000 2.383 0.000
```

ρ = 11.1 g/cm³
E_form = 1.89 eV/atom
crystal system = tetragonal
volume = 20.15 A^3/atom

Record 16
A plane-wave DFT calculation with PBE was carried out for crystalline NaLi2La3Ti6O18 at its relaxed geometry.

The structure in extended XYZ format:
```
30
Lattice="-2.429 -8.075 -4.475 8.343 0.497 4.612 -0.039 -4.004 3.824" Properties=species:S:1:pos:R:3 pbc="T T T"
Ti 2.417 -2.133 1.729
O 0.316 -5.891 -2.160
O 4.171 -7.887 2.118
Ti 3.489 -7.471 0.256
La 7.494 -2.165 5.824
O -0.504 -5.398 0.515
O 5.540 -3.720 4.176
O 1.433 -3.911 1.613
O 6.326 -8.076 5.407
O -0.221 -3.323 -1.091
O 2.868 -10.829 2.329
Na 5.628 -1.663 2.322
O 3.112 -2.725 3.505
O 3.938 -3.009 0.896
Ti 4.145 -2.782 5.119
Ti 0.476 -5.631 2.093
O 6.090 -6.210 3.262
O 2.016 -6.525 1.203
La 3.811 -5.096 2.717
La 1.998 -4.552 -0.740
O 4.378 -5.593 0.364
O 7.533 -0.147 3.929
Ti 5.316 -7.971 3.799
O -1.598 -9.401 -1.846
Li -0.660 -7.634 -2.021
Ti 7.061 -4.558 3.339
Li -0.663 -9.676 -0.090
O 1.697 -5.830 3.766
O 2.656 -9.147 0.305
O 3.354 -0.478 1.763
```

ρ = 4.8 g/cm³
energy relative to the elements, uncorrected = -3.021 eV/atom
crystal system = monoclinic
volume = 11.97 A^3/atom

Record 17
A plane-wave DFT calculation with PBE was carried out for crystalline K4La3SiO8 at its relaxed geometry.

The structure in extended XYZ format:
```
16
Lattice="-6.617 2.389 0.456 -1.711 -3.512 -6.425 2.731 -3.838 5.242" Properties=species:S:1:pos:R:3 pbc="T T T"
La -2.798 -2.481 -0.363
O -1.358 -3.338 -2.214
O -5.884 0.679 -1.661
O -0.809 -2.432 1.006
O -3.693 -4.204 1.209
O -4.239 -1.624 1.488
K -1.943 -0.725 2.849
O 0.287 -5.641 0.935
La -4.164 -0.562 -2.984
La 0.510 -3.675 -0.591
O -4.788 -2.529 -1.732
K 1.366 -1.919 2.621
K -3.308 1.194 0.228
Si -0.856 -1.756 -3.213
K 0.000 0.000 0.000
O -1.904 -0.758 -1.936
```

ρ = 4.5 g/cm³
energy relative to the elements, uncorrected = -2.297 eV/atom
crystal system = monoclinic
volume = 16.99 A^3/atom

Record 18
A plane-wave DFT calculation with PBE was carried out for crystalline Sr2Mg5Tl5 at its relaxed geometry.

The structure in extended XYZ format:
```
12
Lattice="-1.295 4.198 -1.947 -5.853 -0.521 2.770 3.765 5.314 8.955" Properties=species:S:1:pos:R:3 pbc="T T T"
Mg -0.647 2.099 -0.973
Tl -2.163 5.762 7.935
Tl 0.761 6.022 6.551
Tl -4.143 2.969 3.228
Mg 0.608 0.858 1.446
Mg 3.157 4.456 7.509
Sr 1.883 2.657 4.477
Tl -1.219 3.229 1.844
Mg -1.668 1.516 4.379
Sr -2.926 -0.260 1.385
Tl -1.691 4.496 4.889
Mg -0.420 3.277 7.346
```

ρ = 6.3 g/cm³
energy above the lowest structure with this stoichiometry = 0.005 eV/atom
E_form = -0.14 eV/atom
crystal system = orthorhombic
volume = 28.80 A^3/atom

Record 19
A plane-wave DFT calculation with PBE was carried out for crystalline AlS3Cl at its relaxed geometry.

The structure in extended XYZ format:
```
5
Lattice="-5.132 -7.525 0.361 -0.468 -3.024 1.905 -5.774 -0.076 5.209" Properties=species:S:1:pos:R:3 pbc="T T T"
Al -3.790 -1.733 4.115
S -5.167 -3.741 3.986
S -7.588 -6.172 6.394
S -8.777 -6.902 4.865
Cl -7.067 -10.007 3.769
```

ρ = 1.9 g/cm³
energy above the lowest structure with this stoichiometry = 0.000 eV/atom
energy relative to the elements, uncorrected = -0.624 eV/atom
crystal system = triclinic
volume = 27.66 A^3/atom

Record 20
A plane-wave DFT calculation with PBE was carried out for crystalline CeBO3 at its relaxed geometry.

The structure in extended XYZ format:
```
20
Lattice="5.114 0.000 0.000 0.000 5.841 0.000 0.000 0.000 8.203" Properties=species:S:1:pos:R:3 pbc="T T T"
O 2.643 0.491 1.438
O 2.472 2.429 5.540
B 1.279 5.381 6.065
O 1.279 2.390 7.615
B 1.279 2.460 6.240
Ce 3.836 1.421 7.500
O 2.643 3.412 2.664
O 0.086 2.429 5.540
Ce 1.279 4.420 0.703
O 1.279 5.311 4.690
B 3.836 0.460 2.138
O 5.029 0.491 1.438
O 2.472 5.350 6.765
O 3.836 3.451 0.589
Ce 3.836 4.342 4.805
O 5.029 3.412 2.664
O 3.836 0.530 3.513
B 3.836 3.381 1.963
O 0.086 5.350 6.765
Ce 1.279 1.499 3.399
```

ρ = 5.4 g/cm³
energy relative to the elements, uncorrected = -2.970 eV/atom
crystal system = orthorhombic
volume = 12.25 A^3/atom

Record 21
A plane-wave DFT calculation with PBE was carried out for crystalline Sr3PdN at its relaxed geometry.

The structure in extended XYZ format:
```
10
Lattice="6.992 0.000 0.001 3.496 6.056 0.002 3.492 -2.013 6.862" Properties=species:S:1:pos:R:3 pbc="T T T"
N 6.164 0.116 4.990
Sr 11.044 4.448 3.553
Sr 4.850 -1.562 6.603
Sr 12.356 2.094 6.602
Sr 6.964 2.174 3.551
Sr 3.982 -0.225 3.548
Sr 8.276 -0.180 6.601
Pd 9.663 2.133 2.132
N 6.164 4.153 5.163
Pd 6.166 4.148 1.160
```

ρ = 4.4 g/cm³
energy above the lowest structure with this stoichiometry = 0.000 eV/atom
energy relative to the elements, uncorrected = -0.481 eV/atom
crystal system = triclinic
volume = 29.06 A^3/atom

Record 22
A plane-wave DFT calculation with PBE was carried out for crystalline Ni4W at its relaxed geometry.

The structure in extended XYZ format:
```
5
Lattice="-0.501 3.732 2.346 -2.665 -3.467 -0.749 3.085 -1.996 2.486" Properties=species:S:1:pos:R:3 pbc="T T T"
Ni 1.118 -0.394 2.280
Ni 0.767 -2.931 2.005
W 0.000 0.000 0.000
Ni -0.847 1.200 2.079
Ni -1.199 -1.338 1.804
```

ρ = 11.8 g/cm³
energy above the lowest structure with this stoichiometry = 0.000 eV/atom
E_form = -0.11 eV/atom
crystal system = tetragonal
volume = 11.75 A^3/atom

Record 23
A plane-wave DFT calculation with PBE was carried out for crystalline YTm2Tl9 at its relaxed geometry.

The structure in extended XYZ format:
```
12
Lattice="-3.899 1.742 -2.094 -2.596 -1.271 3.776 2.470 12.717 5.978" Properties=species:S:1:pos:R:3 pbc="T T T"
Tl 0.105 11.449 3.925
Tl -0.063 5.723 4.877
Tl -2.423 4.481 2.837
Tl 0.756 9.942 6.861
Tm 0.824 4.241 1.993
Tl -1.534 3.010 -0.041
Y 0.000 0.000 0.000
Tm 1.646 8.476 3.984
Tl -1.602 8.706 4.823
Tl -3.247 0.235 0.841
Tl -0.714 7.229 1.942
Tl -0.883 1.504 2.894
```

ρ = 11.7 g/cm³
E_form = -0.20 eV/atom
crystal system = tetragonal
volume = 26.89 A^3/atom

Record 24
A plane-wave DFT calculation with PBE was carried out for crystalline Mg2AlSnH at its relaxed geometry.

The structure in extended XYZ format:
```
5
Lattice="-2.688 2.178 2.805 -3.466 -0.844 -2.666 -0.761 -3.737 2.172" Properties=species:S:1:pos:R:3 pbc="T T T"
Mg -1.733 -0.422 -1.333
Sn -3.457 -1.202 1.155
Mg -1.344 1.089 1.402
H 0.000 0.000 0.000
Al -0.380 -1.869 1.086
```

ρ = 3.7 g/cm³
crystal system = tetragonal
volume = 17.41 A^3/atom
E = -14.2 eV per cell